Entry 1:
# Zr3Cr2, optimized geometry, DFT GGA-PBE
# DFT total energy: -8.654 eV per atom
# spin magnetization: 3.78 μB per formula unit
# crystal system: orthorhombic
# energy relative to the lowest polymorph listed for this composition: 0 meV per atom
# energy of formation from the pure elements: 0.324 eV/atom
data_Zr3Cr2
_cell_length_a 9.8076
_cell_length_b 14.0737
_cell_length_c 5.5503
_cell_angle_alpha 90.00
_cell_angle_beta 90.00
_cell_angle_gamma 90.00
_space_group_name_H-M_alt 'F d d 2'
_space_group_IT_number 43
_space_group_name_Hall 'F 2 -2d'
loop_
_atom_site_label
_atom_site_type_symbol
_atom_site_fract_x
_atom_site_fract_y
_atom_site_fract_z
_atom_site_occupancy
Zr1 Zr 0.0000 0.0000 0.0000 1
Zr2 Zr 0.0045 0.1093 0.5020 1
Cr1 Cr 0.0026 0.1989 0.9973 1


Entry 2:
# Sm3AlTl, optimized geometry, DFT GGA-PBE
# DFT total energy: -4.306 eV per atom
# spin magnetization: 0.00 μB per formula unit
# crystal system: orthorhombic
# energy relative to the lowest polymorph listed for this composition: 0 meV per atom
# energy of formation from the pure elements: -0.253 eV/atom
data_Sm3AlTl
_cell_length_a 5.0399
_cell_length_b 22.5648
_cell_length_c 5.0412
_cell_angle_alpha 90.00
_cell_angle_beta 90.00
_cell_angle_gamma 90.00
_space_group_name_H-M_alt 'C m c m'
_space_group_IT_number 63
_space_group_name_Hall '-C 2c 2'
loop_
_atom_site_label
_atom_site_type_symbol
_atom_site_fract_x
_atom_site_fract_y
_atom_site_fract_z
_atom_site_occupancy
Sm1 Sm 0.0000 0.0611 0.2500 1
Sm2 Sm 0.0000 0.2498 0.2500 1
Sm3 Sm 0.0000 0.4383 0.2500 1
Al1 Al 0.0000 0.1552 0.7500 1
Tl1 Tl 0.0000 0.3449 0.7500 1


Entry 3:
# Dy3Y3TlIn2, optimized geometry, DFT GGA-PBE
# DFT total energy: -4.870 eV per atom
# spin magnetization: 1.71 μB per formula unit
# crystal system: hexagonal
# energy of formation from the pure elements: -0.310 eV/atom
data_Dy3Y3TlIn2
_cell_length_a 8.9169
_cell_length_b 8.9169
_cell_length_c 3.7954
_cell_angle_alpha 90.00
_cell_angle_beta 90.00
_cell_angle_gamma 120.00
_space_group_name_H-M_alt 'P -6 2 m'
_space_group_IT_number 189
_space_group_name_Hall 'P -6 -2'
loop_
_atom_site_label
_atom_site_type_symbol
_atom_site_fract_x
_atom_site_fract_y
_atom_site_fract_z
_atom_site_occupancy
Dy1 Dy 0.0000 0.3832 0.0000 1
Y1 Y 0.0000 0.7135 0.5000 1
Tl1 Tl 0.0000 0.0000 0.0000 1
In1 In 0.3333 0.6667 0.5000 1


Copy entry 1 word for word.
# Zr3Cr2, optimized geometry, DFT GGA-PBE
# DFT total energy: -8.654 eV per atom
# spin magnetization: 3.78 μB per formula unit
# crystal system: orthorhombic
# energy relative to the lowest polymorph listed for this composition: 0 meV per atom
# energy of formation from the pure elements: 0.324 eV/atom
data_Zr3Cr2
_cell_length_a 9.8076
_cell_length_b 14.0737
_cell_length_c 5.5503
_cell_angle_alpha 90.00
_cell_angle_beta 90.00
_cell_angle_gamma 90.00
_space_group_name_H-M_alt 'F d d 2'
_space_group_IT_number 43
_space_group_name_Hall 'F 2 -2d'
loop_
_atom_site_label
_atom_site_type_symbol
_atom_site_fract_x
_atom_site_fract_y
_atom_site_fract_z
_atom_site_occupancy
Zr1 Zr 0.0000 0.0000 0.0000 1
Zr2 Zr 0.0045 0.1093 0.5020 1
Cr1 Cr 0.0026 0.1989 0.9973 1